Density functional theory data (PBE-GGA) for an optimized crystal structure of Ca2ZrSe.

Output
Magnetization   0.054 μB per atom
Space group   No. 47
E_form (uncorrected)   -122 meV per atom
Volume   104.6 Å³/cell

Cell lengths 3.9557, 5.5152, 4.7952 Å; angles 90.00, 90.00, 90.00 degrees
Last column: nearest neighbours and their distance in Å.
Fractional coordinates of all 4 atoms:
Se (0.5000, 0.0000, 0.5000)  4 Ca 3.11, 4 Zr 3.39
Ca (0.5000, 0.5000, 0.0000)  4 Zr 3.11, 4 Ca 3.39
Ca (0.0000, 0.0000, 0.0000)  4 Se 3.11, 4 Ca 3.39
Zr (0.0000, 0.5000, 0.5000)  4 Ca 3.11, 4 Se 3.39